Entry from Alexandria via LeMat-Bulk: a relaxed structure of Ca2MnRe (PBE-GGA).

Results
Calculated volume = 21.5 Å³/atom
Magnetic moment = 3.7 μB/cell
Formation energy from the elements = 935 meV per atom
Excess energy over the best structure of this formula in the dataset = 626.0 meV/atom

Unit cell a=10.489 b=10.489 c=10.489 alpha=16.99 beta=16.99 gamma=16.99
Fractional positions:
Mn1 0.250 0.250 0.250
Ca1 0.496 0.496 0.496
Ca2 0.004 0.004 0.004
Re1 0.750 0.750 0.750